The following is a GGA-PBE calculation of an optimized crystal structure of Pm6Hg2Ge, from Alexandria.

a = 5.1182 Å, b = 7.3442 Å, c = 8.9324 Å
α = 114.27°, β = 106.64°, γ = 90.00°
Atoms (fractional coordinates):
Pm: 0.1626 0.9188 0.3253
Pm: 0.8374 0.5936 0.6747
Pm: 0.5000 0.2418 0.0000
Pm: 0.1626 0.4064 0.3253
Pm: 0.8374 0.0812 0.6747
Pm: 0.5000 0.7582 0.0000
Ge: 0.0000 0.0000 0.0000
Hg: 0.6657 0.6659 0.3318
Hg: 0.3343 0.3341 0.6682

Formation enthalpy at 0 K (eV/atom): -0.230
Spin magnetization (μB per formula unit): 0.0
Density of states at the Fermi level (states/eV per cell): 12.9


The following is a GGA-PBE calculation of an optimized crystal structure of Pm12HgGe6, from Alexandria.

a = 8.8513 Å, b = 8.8513 Å, c = 8.8513 Å
α = 104.38°, β = 104.38°, γ = 104.38°
Atoms (fractional coordinates):
Ge: 0.6759 0.2435 0.2435
Ge: 0.7565 0.3241 0.7565
Ge: 0.2435 0.2435 0.6759
Ge: 0.2435 0.6759 0.2435
Ge: 0.3241 0.7565 0.7565
Ge: 0.7565 0.7565 0.3241
Pm: 0.8670 0.1330 0.5000
Pm: 0.5000 0.1330 0.8670
Pm: 0.4482 0.1781 0.4482
Pm: 0.5518 0.5518 0.8219
Pm: 0.4482 0.4482 0.1781
Pm: 0.1330 0.8670 0.5000
Pm: 0.1330 0.5000 0.8670
Pm: 0.8670 0.5000 0.1330
Pm: 0.1781 0.4482 0.4482
Pm: 0.8219 0.5518 0.5518
Pm: 0.5000 0.8670 0.1330
Pm: 0.5518 0.8219 0.5518
Hg: 0.0000 0.0000 0.0000

Formation enthalpy at 0 K (eV/atom): -0.408
Spin magnetization (μB per formula unit): 0.0
Density of states at the Fermi level (states/eV per cell): 20.4


The following is a GGA-PBE calculation of an optimized crystal structure of Pm8Hg2Ge, from Alexandria.

a = 5.2920 Å, b = 6.9540 Å, c = 9.9223 Å
α = 108.18°, β = 105.47°, γ = 90.00°
Atoms (fractional coordinates):
Pm: 0.9855 0.2231 0.9710
Pm: 0.3377 0.0021 0.6754
Pm: 0.4085 0.5375 0.8171
Pm: 0.6623 0.9979 0.3246
Pm: 0.7968 0.6631 0.5936
Pm: 0.0145 0.7769 0.0290
Pm: 0.5915 0.4625 0.1829
Pm: 0.2032 0.3369 0.4064
Hg: 0.8285 0.2594 0.6570
Hg: 0.1715 0.7406 0.3430
Ge: 0.5000 0.0000 0.0000

Formation enthalpy at 0 K (eV/atom): -0.284
Spin magnetization (μB per formula unit): 0.0
Density of states at the Fermi level (states/eV per cell): 10.9


The following is a GGA-PBE calculation of an optimized crystal structure of PmHg2Ge, from Alexandria.

a = 4.6894 Å, b = 4.6894 Å, c = 5.9094 Å
α = 66.62°, β = 66.62°, γ = 60.00°
Atoms (fractional coordinates):
Ge: 0.0000 0.0000 0.0000
Pm: 0.5000 0.5000 0.5000
Hg: 0.7334 0.7334 0.7999
Hg: 0.2666 0.2666 0.2001

Formation enthalpy at 0 K (eV/atom): -0.267
Spin magnetization (μB per formula unit): 0.0
Density of states at the Fermi level (states/eV per cell): 1.9


The following is a GGA-PBE calculation of an optimized crystal structure of Pm5Hg2Ge5, from Alexandria.

a = 4.4071 Å, b = 8.0772 Å, c = 11.2181 Å
α = 127.04°, β = 90.00°, γ = 105.83°
Atoms (fractional coordinates):
Pm: 0.3045 0.6090 0.6719
Pm: 0.6955 0.3910 0.3281
Pm: 0.4002 0.8004 0.0810
Pm: 0.5998 0.1996 0.9190
Pm: 0.5000 0.0000 0.5000
Ge: 0.2297 0.4593 0.1644
Ge: 0.0740 0.1481 0.3628
Ge: 0.7703 0.5407 0.8356
Ge: 0.9260 0.8519 0.6372
Ge: 0.0000 0.0000 0.0000
Hg: 0.1411 0.2821 0.7502
Hg: 0.8589 0.7179 0.2498

Formation enthalpy at 0 K (eV/atom): -0.611
Spin magnetization (μB per formula unit): 0.0
Density of states at the Fermi level (states/eV per cell): 5.8


The following is a GGA-PBE calculation of an optimized crystal structure of Pm5HgGe2, from Alexandria.

a = 7.8825 Å, b = 7.8825 Å, c = 9.1672 Å
α = 115.46°, β = 115.46°, γ = 90.00°
Atoms (fractional coordinates):
Pm: 0.1900 0.0271 0.7171
Pm: 0.5271 0.6900 0.7171
Pm: 0.0000 0.0000 0.0000
Pm: 0.4729 0.3100 0.2829
Pm: 0.5000 0.5000 0.0000
Pm: 0.3100 0.8100 0.2829
Pm: 0.6900 0.1900 0.7171
Pm: 0.9729 0.4729 0.2829
Pm: 0.0271 0.5271 0.7171
Pm: 0.8100 0.9729 0.2829
Hg: 0.7500 0.7500 0.5000
Hg: 0.2500 0.2500 0.5000
Ge: 0.1317 0.3683 0.0000
Ge: 0.3683 0.8683 0.0000
Ge: 0.8683 0.6317 0.0000
Ge: 0.6317 0.1317 0.0000

Formation enthalpy at 0 K (eV/atom): -0.593
Polymorph energy (0 for the lowest one) (meV/atom): 0
Spin magnetization (μB per formula unit): 0.0
Density of states at the Fermi level (states/eV per cell): 14.5


The following is a GGA-PBE calculation of an optimized crystal structure of Pm6Hg5Ge, from Alexandria.

a = 5.3194 Å, b = 7.5653 Å, c = 8.5170 Å
α = 90.00°, β = 71.86°, γ = 90.00°
Atoms (fractional coordinates):
Pm: 0.8408 0.2447 0.3184
Pm: 0.1592 0.7553 0.6816
Pm: 0.5000 0.7653 0.0000
Pm: 0.5000 0.2347 0.0000
Pm: 0.8408 0.7553 0.3184
Pm: 0.1592 0.2447 0.6816
Ge: 0.0000 0.0000 0.0000
Hg: 0.6702 0.5000 0.6600
Hg: 0.6792 0.0000 0.6418
Hg: 0.3208 0.0000 0.3582
Hg: 0.0000 0.5000 0.0000
Hg: 0.3298 0.5000 0.3400

Formation enthalpy at 0 K (eV/atom): -0.518
Spin magnetization (μB per formula unit): 0.0
Density of states at the Fermi level (states/eV per cell): 14.9


The following is a GGA-PBE calculation of an optimized crystal structure of Pm4HgGe2, from Alexandria.

a = 4.5116 Å, b = 4.5116 Å, c = 12.2490 Å
α = 79.39°, β = 79.39°, γ = 60.00°
Atoms (fractional coordinates):
Pm: 0.3867 0.3867 0.8398
Pm: 0.1994 0.1994 0.4018
Pm: 0.6133 0.6133 0.1602
Pm: 0.8006 0.8006 0.5982
Ge: 0.0976 0.0976 0.7073
Ge: 0.9024 0.9024 0.2927
Hg: 0.0000 0.0000 0.0000

Formation enthalpy at 0 K (eV/atom): -0.522
Spin magnetization (μB per formula unit): 0.0
Density of states at the Fermi level (states/eV per cell): 7.4


The following is a GGA-PBE calculation of an optimized crystal structure of PmHg2Ge, from Alexandria.

a = 4.9684 Å, b = 4.3764 Å, c = 4.3764 Å
α = 90.00°, β = 90.00°, γ = 90.00°
Atoms (fractional coordinates):
Hg: 0.0000 0.5000 0.0000
Hg: 0.0000 0.0000 0.5000
Pm: 0.5000 0.5000 0.5000
Ge: 0.5000 0.0000 0.0000

Formation enthalpy at 0 K (eV/atom): -0.413
Spin magnetization (μB per formula unit): 0.0
Density of states at the Fermi level (states/eV per cell): 1.4


The following is a GGA-PBE calculation of an optimized crystal structure of Pm2Hg3Ge2, from Alexandria.

a = 4.4286 Å, b = 5.7829 Å, c = 7.2510 Å
α = 97.21°, β = 90.00°, γ = 112.51°
Atoms (fractional coordinates):
Pm: 0.6199 0.2399 0.3245
Pm: 0.3801 0.7601 0.6755
Hg: 0.0000 0.0000 0.0000
Hg: 0.6947 0.3895 0.8596
Hg: 0.3053 0.6105 0.1404
Ge: 0.0960 0.1921 0.6143
Ge: 0.9040 0.8079 0.3857

Formation enthalpy at 0 K (eV/atom): -0.452
Spin magnetization (μB per formula unit): 0.0
Density of states at the Fermi level (states/eV per cell): 3.1


The following is a GGA-PBE calculation of an optimized crystal structure of Pm12HgGe7, from Alexandria.

a = 9.1038 Å, b = 9.1038 Å, c = 9.1038 Å
α = 109.41°, β = 109.41°, γ = 109.41°
Atoms (fractional coordinates):
Pm: 0.6699 0.2983 0.1542
Pm: 0.8458 0.3301 0.7017
Pm: 0.6151 0.9156 0.6980
Pm: 0.0844 0.3020 0.3849
Pm: 0.2983 0.1542 0.6699
Pm: 0.3301 0.7017 0.8458
Pm: 0.1542 0.6699 0.2983
Pm: 0.6980 0.6151 0.9156
Pm: 0.3020 0.3849 0.0844
Pm: 0.9156 0.6980 0.6151
Pm: 0.3849 0.0844 0.3020
Pm: 0.7017 0.8458 0.3301
Ge: 0.7067 0.9753 0.0740
Ge: 0.2933 0.0247 0.9260
Ge: 0.0740 0.7067 0.9753
Ge: 0.9753 0.0740 0.7067
Ge: 0.5000 0.5000 0.5000
Ge: 0.9260 0.2933 0.0247
Ge: 0.0247 0.9260 0.2933
Hg: 0.0000 0.0000 0.0000

Formation enthalpy at 0 K (eV/atom): -0.428
Spin magnetization (μB per formula unit): 0.0
Density of states at the Fermi level (states/eV per cell): 15.6


The following is a GGA-PBE calculation of an optimized crystal structure of PmHgGePt, from Alexandria.

a = 4.9399 Å, b = 4.9399 Å, c = 4.9399 Å
α = 60.00°, β = 60.00°, γ = 60.00°
Atoms (fractional coordinates):
Pt: 0.2500 0.2500 0.2500
Ge: 0.7500 0.7500 0.7500
Pm: 0.5000 0.5000 0.5000
Hg: 0.0000 0.0000 0.0000

Formation enthalpy at 0 K (eV/atom): -0.455
Spin magnetization (μB per formula unit): 0.0
Density of states at the Fermi level (states/eV per cell): 3.7